No. 1
The following is a DFT calculation (PBE with a Hubbard U) of K2FeO4 after structural relaxation.

Cell lengths 7.784, 5.928, 10.512 Å; angles 90.00, 90.00, 90.00 degrees
Sites, in units of the cell vectors:
K: 0.013 0.250 0.196
K: 0.163 0.750 0.415
K: 0.337 0.250 0.915
K: 0.487 0.750 0.696
K: 0.513 0.250 0.304
K: 0.663 0.750 0.085
K: 0.837 0.250 0.585
K: 0.987 0.750 0.804
Fe: 0.229 0.750 0.078
Fe: 0.271 0.250 0.578
Fe: 0.729 0.750 0.422
Fe: 0.771 0.250 0.922
O: 0.017 0.750 0.084
O: 0.193 0.021 0.649
O: 0.193 0.479 0.649
O: 0.201 0.250 0.428
O: 0.299 0.750 0.928
O: 0.307 0.521 0.149
O: 0.307 0.979 0.149
O: 0.483 0.250 0.584
O: 0.517 0.750 0.416
O: 0.693 0.021 0.851
O: 0.693 0.479 0.851
O: 0.701 0.250 0.072
O: 0.799 0.750 0.572
O: 0.807 0.521 0.351
O: 0.807 0.979 0.351
O: 0.983 0.250 0.916

Results
- total DFT energy (no corrections) (eV/atom) = -5.064
- crystal system = orthorhombic
- calculated density (g cm⁻³) = 2.712



No. 2
The following is a DFT calculation (PBE with a Hubbard U) of VReO4 after structural relaxation.

Cell lengths 9.997, 9.997, 4.800 Å; angles 92.17, 92.17, 33.36 degrees
Sites, in units of the cell vectors:
V: 0.000 0.000 0.000
V: 0.242 0.242 0.011
V: 0.500 0.500 0.000
V: 0.758 0.758 0.989
Re: 0.152 0.597 0.502
Re: 0.403 0.848 0.498
Re: 0.597 0.152 0.502
Re: 0.848 0.403 0.498
O: 0.065 0.541 0.208
O: 0.080 0.080 0.681
O: 0.172 0.172 0.313
O: 0.198 0.695 0.795
O: 0.305 0.802 0.205
O: 0.318 0.318 0.719
O: 0.431 0.431 0.288
O: 0.459 0.935 0.792
O: 0.541 0.065 0.208
O: 0.569 0.569 0.712
O: 0.682 0.682 0.281
O: 0.695 0.198 0.795
O: 0.802 0.305 0.205
O: 0.828 0.828 0.687
O: 0.920 0.920 0.319
O: 0.935 0.459 0.792

Results
- crystal system = monoclinic
- calculated density (g cm⁻³) = 7.589
- relative energy among the computed polymorphs (meV per atom) = 12